TaVO2 GGA+U optimized geometry; final energy = -0.3170 hartree per atom; energy above the lowest structure with this stoichiometry = 278 meV/atom; space-group type = No. 166; density = 8.30 g cm⁻³; N(E_F) = 2.5 states/eV/f.u.; volume = 52.8 Å³ per cell
1.0
1.496 0.864 6.810
-1.496 0.864 6.810
0.000 -1.727 6.810
Ta V O
1 1 2
direct
0.000 0.000 0.000
0.500 0.500 0.500
0.395 0.395 0.395
0.605 0.605 0.605